[1]
Al2Zn5Au12: relaxed, GGA-PBE.

Cell and atoms, written as POSCAR:
```
Al2Zn5Au12
1.0
5.662 0.000 0.000
-2.831 7.862 -0.036
0.000 -2.851 8.189
Au Zn Al
12 5 2
Direct
0.892 0.292 0.579
0.400 0.292 0.579
0.479 0.957 0.734
0.929 0.857 0.741
0.071 0.143 0.259
0.944 0.382 0.111
0.056 0.618 0.889
0.600 0.708 0.421
0.108 0.708 0.421
0.521 0.043 0.266
0.438 0.382 0.111
0.562 0.618 0.889
0.000 0.000 0.500
0.294 0.588 0.623
0.706 0.412 0.377
0.347 0.694 0.156
0.653 0.306 0.844
0.747 0.000 0.000
0.253 0.000 0.000
```

The value obtained for the final energy is -2.92 eV/atom. Its crystal system is monoclinic. As for the energy above the lowest structure with this stoichiometry: 92 meV per atom. The magnetic moment comes out at 0.000 μB per formula unit. The value obtained for the density of states at the Fermi level is 5.91 states/eV per cell.


[2]
AlZn2Au: relaxed, GGA-PBE.

Cell and atoms, written as POSCAR:
```
AlZn2Au
1.0
4.805 0.000 0.000
0.000 3.026 -0.001
0.000 -0.513 4.585
Au Al Zn
1 1 2
Direct
0.500 0.750 0.750
0.500 0.250 0.250
0.000 0.978 0.009
0.000 0.522 0.491
```

The value obtained for the final energy is -2.53 eV/atom. Its crystal system is monoclinic. The magnetic moment comes out at 0.000 μB per formula unit. The value obtained for the density of states at the Fermi level is 1.13 states/eV per cell.


[3]
Al2ZnAu: relaxed, GGA-PBE.

Cell and atoms, written as POSCAR:
```
Al2ZnAu
1.0
3.213 0.000 0.000
0.000 5.011 -0.001
0.000 3.255 4.141
Au Al Zn
1 2 1
Direct
0.500 0.500 0.500
0.000 0.000 0.000
0.500 0.500 0.000
0.000 0.000 0.500
```

The value obtained for the final energy is -3.18 eV/atom. Its crystal system is monoclinic. The magnetic moment comes out at 0.000 μB per formula unit. The value obtained for the density of states at the Fermi level is 0.52 states/eV per cell.


[4]
Al2ZnAu: relaxed, GGA-PBE.

Cell and atoms, written as POSCAR:
```
Al2ZnAu
1.0
-0.255 0.868 4.485
-3.833 -0.968 2.303
-0.056 -3.455 2.999
Al Au Zn
2 1 1
Direct
0.000 0.000 0.000
0.250 0.250 0.250
0.500 0.500 0.500
0.750 0.750 0.750
```

The value obtained for the final energy is -3.01 eV/atom. Its crystal system is cubic. The magnetic moment comes out at 0.000 μB per formula unit. The value obtained for the density of states at the Fermi level is 1.05 states/eV per cell.


[5]
Al2ZnAu: relaxed, GGA-PBE.

Cell and atoms, written as POSCAR:
```
Al2ZnAu
1.0
-1.748 0.429 4.528
-4.191 0.449 2.445
-0.562 -4.448 0.616
Au Al Zn
1 2 1
Direct
0.494 0.494 0.517
0.751 0.751 0.740
0.002 0.002 0.015
0.253 0.253 0.228
```

The value obtained for the final energy is -3.17 eV/atom. Its crystal system is monoclinic. The magnetic moment comes out at 0.000 μB per formula unit. The value obtained for the density of states at the Fermi level is 0.92 states/eV per cell.


[6]
AlZn5Au6: relaxed, GGA-PBE.

Cell and atoms, written as POSCAR:
```
AlZn5Au6
1.0
4.372 0.030 -1.254
-0.884 5.657 -2.946
-0.083 0.339 7.715
Zn Au Al
5 6 1
Direct
0.000 0.500 0.000
0.666 0.666 0.332
0.672 0.172 0.344
0.334 0.334 0.668
0.328 0.828 0.656
0.836 0.590 0.672
0.500 0.242 0.000
0.164 0.410 0.328
0.836 0.082 0.672
0.500 0.758 0.000
0.164 0.918 0.328
0.000 0.000 0.000
```

The value obtained for the final energy is -2.71 eV/atom. Its crystal system is monoclinic. The magnetic moment comes out at 0.000 μB per formula unit. The value obtained for the density of states at the Fermi level is 2.14 states/eV per cell.


[7]
AlZn2Au: relaxed, GGA-PBE.

Cell and atoms, written as POSCAR:
```
AlZn2Au
1.0
3.932 0.000 0.000
0.000 3.932 0.000
0.000 0.000 4.126
Zn Al Au
2 1 1
Direct
0.500 0.500 0.000
0.000 0.000 0.000
0.500 0.000 0.500
0.000 0.500 0.500
```

The value obtained for the final energy is -2.50 eV/atom. Its crystal system is tetragonal. The magnetic moment comes out at 0.000 μB per formula unit. The value obtained for the density of states at the Fermi level is 2.17 states/eV per cell.


[8]
AlZn3Au6: relaxed, GGA-PBE.

Cell and atoms, written as POSCAR:
```
AlZn3Au6
1.0
-5.119 5.294 -2.827
-5.007 -1.445 1.238
-2.440 2.532 4.040
Zn Au Al
3 6 1
Direct
0.246 0.150 0.150
0.000 0.000 0.000
0.754 0.850 0.850
0.317 0.123 0.623
0.131 0.688 0.688
0.683 0.377 0.877
0.869 0.312 0.312
0.683 0.877 0.377
0.317 0.623 0.123
0.500 0.500 0.500
```

The value obtained for the final energy is -2.85 eV/atom. Its crystal system is monoclinic. The magnetic moment comes out at 0.000 μB per formula unit. The value obtained for the density of states at the Fermi level is 2.92 states/eV per cell.


[9]
AlZn4Au5: relaxed, GGA-PBE.

Cell and atoms, written as POSCAR:
```
AlZn4Au5
1.0
3.178 0.000 0.000
0.000 3.178 0.000
0.000 0.000 16.119
Al Au Zn
1 5 4
Direct
0.000 0.000 0.000
0.500 0.500 0.097
0.500 0.500 0.903
0.500 0.500 0.699
0.500 0.500 0.301
0.500 0.500 0.500
0.000 0.000 0.599
0.000 0.000 0.797
0.000 0.000 0.203
0.000 0.000 0.401
```

The value obtained for the final energy is -2.75 eV/atom. Its crystal system is tetragonal. As for the energy above the lowest structure with this stoichiometry: 0 meV per atom. The magnetic moment comes out at 0.000 μB per formula unit. The value obtained for the density of states at the Fermi level is 2.22 states/eV per cell.


[10]
AlZn2Au5: relaxed, GGA-PBE.

Cell and atoms, written as POSCAR:
```
AlZn2Au5
1.0
4.137 0.000 0.000
-2.068 8.207 0.000
0.000 0.000 10.895
Zn Au Al
4 10 2
Direct
0.127 0.253 0.933
0.127 0.253 0.567
0.873 0.747 0.067
0.873 0.747 0.433
0.973 0.947 0.622
0.027 0.053 0.378
0.027 0.053 0.122
0.264 0.527 0.080
0.264 0.527 0.420
0.736 0.473 0.920
0.736 0.473 0.580
0.973 0.947 0.878
0.240 0.480 0.750
0.760 0.520 0.250
0.154 0.309 0.250
0.846 0.691 0.750
```

The value obtained for the final energy is -2.86 eV/atom. Its crystal system is orthorhombic. As for the energy above the lowest structure with this stoichiometry: 208 meV per atom. The magnetic moment comes out at 0.000 μB per formula unit. The value obtained for the density of states at the Fermi level is 5.17 states/eV per cell.


[11]
AlZnAu3: relaxed, GGA-PBE.

Cell and atoms, written as POSCAR:
```
AlZnAu3
1.0
-1.489 6.384 -0.073
-5.683 -1.377 -4.493
-5.199 -1.155 5.101
Al Zn Au
4 4 12
Direct
0.420 0.850 0.650
0.080 0.350 0.150
0.920 0.650 0.850
0.580 0.150 0.350
0.750 0.185 0.815
0.250 0.314 0.686
0.250 0.815 0.185
0.750 0.686 0.314
0.611 0.526 0.662
0.611 0.838 0.974
0.389 0.162 0.026
0.206 0.073 0.427
0.889 0.026 0.162
0.111 0.974 0.838
0.706 0.427 0.073
0.889 0.338 0.474
0.111 0.662 0.526
0.389 0.474 0.338
0.794 0.927 0.573
0.294 0.573 0.927
```

The value obtained for the final energy is -3.21 eV/atom. Its crystal system is orthorhombic. As for the energy above the lowest structure with this stoichiometry: 0 meV per atom. The magnetic moment comes out at 0.000 μB per formula unit. The value obtained for the density of states at the Fermi level is 4.58 states/eV per cell.


[12]
Al2ZnAu2: relaxed, GGA-PBE.

Cell and atoms, written as POSCAR:
```
Al2ZnAu2
1.0
-2.586 -0.986 -3.409
1.442 -4.090 0.089
-6.860 -2.292 5.868
Au Al Zn
4 4 2
Direct
0.250 0.250 0.846
0.250 0.250 0.485
0.750 0.750 0.154
0.750 0.750 0.515
0.750 0.250 0.319
0.750 0.250 0.997
0.250 0.750 0.681
0.250 0.750 0.003
0.750 0.250 0.688
0.250 0.750 0.312
```

The value obtained for the final energy is -3.39 eV/atom. Its crystal system is orthorhombic. As for the energy above the lowest structure with this stoichiometry: 0 meV per atom. The magnetic moment comes out at 0.000 μB per formula unit. The value obtained for the density of states at the Fermi level is 2.67 states/eV per cell.